## w
# MoPb2Au | Alexandria via LeMat-Bulk | PBE | relaxed
data_MoPb2Au
_chemical_formula_sum 'Mo1 Pb2 Au1'
_space_group_name_H-M_alt 'P 1'
_space_group_IT_number 1
_cell_length_a 4.425
_cell_length_b 3.750
_cell_length_c 5.746
_cell_angle_alpha 70.87
_cell_angle_beta 90.00
_cell_angle_gamma 90.00
loop_
_space_group_symop_operation_xyz
'x,y,z'
loop_
_atom_site_label
_atom_site_type_symbol
_atom_site_fract_x
_atom_site_fract_y
_atom_site_fract_z
Mo1 Mo 0.500 0.549 0.777
Au1 Au 0.000 0.700 0.474
Pb1 Pb 0.500 0.274 0.329
Pb2 Pb 0.000 0.976 0.921
# - SG = Pm
# - total moment (Bohr magnetons per cell) = 0.0

=====

## x
# MoPb2Au | Alexandria via LeMat-Bulk | PBE | relaxed
data_MoPb2Au
_chemical_formula_sum 'Mo1 Pb2 Au1'
_space_group_name_H-M_alt 'P 1'
_space_group_IT_number 1
_cell_length_a 3.103
_cell_length_b 3.103
_cell_length_c 9.900
_cell_angle_alpha 90.00
_cell_angle_beta 90.00
_cell_angle_gamma 89.98
loop_
_space_group_symop_operation_xyz
'x,y,z'
loop_
_atom_site_label
_atom_site_type_symbol
_atom_site_fract_x
_atom_site_fract_y
_atom_site_fract_z
Pb1 Pb 0.000 0.000 0.942
Pb2 Pb 0.500 0.500 0.305
Au1 Au 0.000 0.000 0.538
Mo1 Mo 0.500 0.500 0.715
# - SG = P4mm
# - total moment (Bohr magnetons per cell) = 0.0

=====

Result of the stability comparison: x is the most stable of them.

=====

## w
# MoPb2Au | Alexandria via LeMat-Bulk | PBE | relaxed
data_MoPb2Au
_chemical_formula_sum 'Mo1 Pb2 Au1'
_space_group_name_H-M_alt 'P 1'
_space_group_IT_number 1
_cell_length_a 5.417
_cell_length_b 5.417
_cell_length_c 5.417
_cell_angle_alpha 131.43
_cell_angle_beta 131.61
_cell_angle_gamma 70.99
loop_
_space_group_symop_operation_xyz
'x,y,z'
loop_
_atom_site_label
_atom_site_type_symbol
_atom_site_fract_x
_atom_site_fract_y
_atom_site_fract_z
Au1 Au 0.750 0.250 0.500
Mo1 Mo 0.250 0.750 0.500
Pb1 Pb 0.000 0.000 0.000
Pb2 Pb 0.500 0.500 0.000
# - SG = Immm
# - total moment (Bohr magnetons per cell) = 0.9

=====

## x
# MoPb2Au | Alexandria via LeMat-Bulk | PBE | relaxed
data_MoPb2Au
_chemical_formula_sum 'Mo1 Pb2 Au1'
_space_group_name_H-M_alt 'P 1'
_space_group_IT_number 1
_cell_length_a 3.112
_cell_length_b 3.855
_cell_length_c 7.920
_cell_angle_alpha 90.00
_cell_angle_beta 90.00
_cell_angle_gamma 90.00
loop_
_space_group_symop_operation_xyz
'x,y,z'
loop_
_atom_site_label
_atom_site_type_symbol
_atom_site_fract_x
_atom_site_fract_y
_atom_site_fract_z
Au1 Au 0.000 0.000 0.541
Pb1 Pb 0.000 0.000 0.942
Pb2 Pb 0.500 0.500 0.309
Mo1 Mo 0.500 0.500 0.708
# - SG = Pmm2
# - total moment (Bohr magnetons per cell) = 0.0

=====

Result of the stability comparison: x is the most stable of them.

=====

## w
# MoPb2Au | Alexandria via LeMat-Bulk | PBE | relaxed
data_MoPb2Au
_chemical_formula_sum 'Mo1 Pb2 Au1'
_space_group_name_H-M_alt 'P 1'
_space_group_IT_number 1
_cell_length_a 3.348
_cell_length_b 5.586
_cell_length_c 4.799
_cell_angle_alpha 90.00
_cell_angle_beta 90.00
_cell_angle_gamma 90.00
loop_
_space_group_symop_operation_xyz
'x,y,z'
loop_
_atom_site_label
_atom_site_type_symbol
_atom_site_fract_x
_atom_site_fract_y
_atom_site_fract_z
Mo1 Mo 0.000 0.500 0.500
Au1 Au 0.500 0.000 0.500
Pb1 Pb 0.500 0.500 0.000
Pb2 Pb 0.000 0.000 0.000
# - SG = Pmmm
# - total moment (Bohr magnetons per cell) = 0.0

=====

## x
# MoPb2Au | Alexandria via LeMat-Bulk | PBE | relaxed
data_MoPb2Au
_chemical_formula_sum 'Mo1 Pb2 Au1'
_space_group_name_H-M_alt 'P 1'
_space_group_IT_number 1
_cell_length_a 5.807
_cell_length_b 5.807
_cell_length_c 5.807
_cell_angle_alpha 137.56
_cell_angle_beta 137.56
_cell_angle_gamma 61.58
loop_
_space_group_symop_operation_xyz
'x,y,z'
loop_
_atom_site_label
_atom_site_type_symbol
_atom_site_fract_x
_atom_site_fract_y
_atom_site_fract_z
Pb1 Pb 0.250 0.750 0.500
Pb2 Pb 0.000 0.000 0.000
Au1 Au 0.500 0.500 0.000
Mo1 Mo 0.750 0.250 0.500
# - SG = I-4m2
# - total moment (Bohr magnetons per cell) = 1.6

=====

## y
# MoPb2Au | Alexandria via LeMat-Bulk | PBE | relaxed
data_MoPb2Au
_chemical_formula_sum 'Mo1 Pb2 Au1'
_space_group_name_H-M_alt 'P 1'
_space_group_IT_number 1
_cell_length_a 5.335
_cell_length_b 5.335
_cell_length_c 5.660
_cell_angle_alpha 84.29
_cell_angle_beta 84.29
_cell_angle_gamma 33.50
loop_
_space_group_symop_operation_xyz
'x,y,z'
loop_
_atom_site_label
_atom_site_type_symbol
_atom_site_fract_x
_atom_site_fract_y
_atom_site_fract_z
Pb1 Pb 0.512 0.512 0.491
Au1 Au 0.750 0.750 0.750
Pb2 Pb 0.988 0.988 0.009
Mo1 Mo 0.250 0.250 0.250
# - SG = C2/m
# - total moment (Bohr magnetons per cell) = 0.0

=====

## z
# MoPb2Au | Alexandria via LeMat-Bulk | PBE | relaxed
data_MoPb2Au
_chemical_formula_sum 'Mo2 Pb4 Au2'
_space_group_name_H-M_alt 'P 1'
_space_group_IT_number 1
_cell_length_a 7.982
_cell_length_b 7.982
_cell_length_c 6.442
_cell_angle_alpha 51.72
_cell_angle_beta 51.72
_cell_angle_gamma 90.00
loop_
_space_group_symop_operation_xyz
'x,y,z'
loop_
_atom_site_label
_atom_site_type_symbol
_atom_site_fract_x
_atom_site_fract_y
_atom_site_fract_z
Pb1 Pb 0.375 0.367 0.750
Pb2 Pb 0.633 0.125 0.250
Pb3 Pb 0.117 0.625 0.250
Mo1 Mo 0.500 0.500 0.000
Pb4 Pb 0.875 0.883 0.750
Mo2 Mo 0.250 0.750 0.500
Au1 Au 0.000 0.000 0.000
Au2 Au 0.750 0.250 0.500
# - SG = I-42d
# - total moment (Bohr magnetons per cell) = 6.0

=====

Result of the stability comparison: x is the most stable of them.

=====

## w
# MoPb2Au | Alexandria via LeMat-Bulk | PBE | relaxed
data_MoPb2Au
_chemical_formula_sum 'Mo1 Pb2 Au1'
_space_group_name_H-M_alt 'P 1'
_space_group_IT_number 1
_cell_length_a 5.111
_cell_length_b 5.111
_cell_length_c 5.111
_cell_angle_alpha 60.00
_cell_angle_beta 60.00
_cell_angle_gamma 60.00
loop_
_space_group_symop_operation_xyz
'x,y,z'
loop_
_atom_site_label
_atom_site_type_symbol
_atom_site_fract_x
_atom_site_fract_y
_atom_site_fract_z
Mo1 Mo 0.750 0.750 0.750
Pb1 Pb 0.250 0.250 0.250
Au1 Au 0.500 0.500 0.500
Pb2 Pb 0.000 0.000 0.000
# - SG = F-43m
# - total moment (Bohr magnetons per cell) = 2.7

=====

## x
# MoPb2Au | Alexandria via LeMat-Bulk | PBE | relaxed
data_MoPb2Au
_chemical_formula_sum 'Mo1 Pb2 Au1'
_space_group_name_H-M_alt 'P 1'
_space_group_IT_number 1
_cell_length_a 3.104
_cell_length_b 3.104
_cell_length_c 9.439
_cell_angle_alpha 90.00
_cell_angle_beta 90.00
_cell_angle_gamma 90.00
loop_
_space_group_symop_operation_xyz
'x,y,z'
loop_
_atom_site_label
_atom_site_type_symbol
_atom_site_fract_x
_atom_site_fract_y
_atom_site_fract_z
Pb1 Pb 0.000 0.000 0.987
Mo1 Mo 0.500 0.500 0.750
Au1 Au 0.500 0.500 0.250
Pb2 Pb 0.000 0.000 0.513
# - SG = P4/mmm
# - total moment (Bohr magnetons per cell) = 0.0

=====

## y
# MoPb2Au | Alexandria via LeMat-Bulk | PBE | relaxed
data_MoPb2Au
_chemical_formula_sum 'Mo1 Pb2 Au1'
_space_group_name_H-M_alt 'P 1'
_space_group_IT_number 1
_cell_length_a 9.578
_cell_length_b 9.578
_cell_length_c 9.578
_cell_angle_alpha 19.87
_cell_angle_beta 19.87
_cell_angle_gamma 19.87
loop_
_space_group_symop_operation_xyz
'x,y,z'
loop_
_atom_site_label
_atom_site_type_symbol
_atom_site_fract_x
_atom_site_fract_y
_atom_site_fract_z
Mo1 Mo 0.750 0.750 0.750
Au1 Au 0.250 0.250 0.250
Pb1 Pb 0.003 0.003 0.003
Pb2 Pb 0.497 0.497 0.497
# - SG = R-3m
# - total moment (Bohr magnetons per cell) = 0.6

=====

## z
# MoPb2Au | Alexandria via LeMat-Bulk | PBE | relaxed
data_MoPb2Au
_chemical_formula_sum 'Mo1 Pb2 Au1'
_space_group_name_H-M_alt 'P 1'
_space_group_IT_number 1
_cell_length_a 7.129
_cell_length_b 7.129
_cell_length_c 7.129
_cell_angle_alpha 154.70
_cell_angle_beta 141.10
_cell_angle_gamma 46.98
loop_
_space_group_symop_operation_xyz
'x,y,z'
loop_
_atom_site_label
_atom_site_type_symbol
_atom_site_fract_x
_atom_site_fract_y
_atom_site_fract_z
Mo1 Mo 0.258 0.758 0.500
Au1 Au 0.436 0.436 0.000
Pb1 Pb 0.757 0.257 0.500
Pb2 Pb 0.049 0.049 0.000
# - SG = Imm2
# - total moment (Bohr magnetons per cell) = 0.8

=====

Result of the stability comparison: z is the most stable of them.

=====

## w
# MoPb2Au | Alexandria via LeMat-Bulk | PBE | relaxed
data_MoPb2Au
_chemical_formula_sum 'Mo1 Pb2 Au1'
_space_group_name_H-M_alt 'P 1'
_space_group_IT_number 1
_cell_length_a 3.692
_cell_length_b 3.690
_cell_length_c 6.362
_cell_angle_alpha 90.00
_cell_angle_beta 90.00
_cell_angle_gamma 90.00
loop_
_space_group_symop_operation_xyz
'x,y,z'
loop_
_atom_site_label
_atom_site_type_symbol
_atom_site_fract_x
_atom_site_fract_y
_atom_site_fract_z
Mo1 Mo 0.500 0.500 0.750
Pb1 Pb 0.000 0.000 0.508
Pb2 Pb 0.000 0.000 0.992
Au1 Au 0.500 0.500 0.250
# - SG = P4/mmm
# - total moment (Bohr magnetons per cell) = 0.2

=====

## x
# MoPb2Au | Alexandria via LeMat-Bulk | PBE | relaxed
data_MoPb2Au
_chemical_formula_sum 'Mo1 Pb2 Au1'
_space_group_name_H-M_alt 'P 1'
_space_group_IT_number 1
_cell_length_a 5.090
_cell_length_b 5.090
_cell_length_c 5.090
_cell_angle_alpha 60.00
_cell_angle_beta 60.00
_cell_angle_gamma 60.00
loop_
_space_group_symop_operation_xyz
'x,y,z'
loop_
_atom_site_label
_atom_site_type_symbol
_atom_site_fract_x
_atom_site_fract_y
_atom_site_fract_z
Au1 Au 0.500 0.500 0.500
Mo1 Mo 0.000 0.000 0.000
Pb1 Pb 0.750 0.750 0.750
Pb2 Pb 0.250 0.250 0.250
# - SG = Fm-3m
# - total moment (Bohr magnetons per cell) = 3.0

=====

Result of the stability comparison: w is the most stable of them.

=====

## w
# MoPb2Au | Alexandria via LeMat-Bulk | PBE | relaxed
data_MoPb2Au
_chemical_formula_sum 'Mo1 Pb2 Au1'
_space_group_name_H-M_alt 'P 1'
_space_group_IT_number 1
_cell_length_a 3.124
_cell_length_b 3.124
_cell_length_c 9.678
_cell_angle_alpha 90.00
_cell_angle_beta 90.00
_cell_angle_gamma 105.68
loop_
_space_group_symop_operation_xyz
'x,y,z'
loop_
_atom_site_label
_atom_site_type_symbol
_atom_site_fract_x
_atom_site_fract_y
_atom_site_fract_z
Au1 Au 0.500 0.500 0.250
Mo1 Mo 0.500 0.500 0.750
Pb1 Pb 0.000 0.000 0.514
Pb2 Pb 0.000 0.000 0.986
# - SG = Cmmm
# - total moment (Bohr magnetons per cell) = 0.0

=====

## x
# MoPb2Au | Alexandria via LeMat-Bulk | PBE | relaxed
data_MoPb2Au
_chemical_formula_sum 'Mo1 Pb2 Au1'
_space_group_name_H-M_alt 'P 1'
_space_group_IT_number 1
_cell_length_a 11.113
_cell_length_b 11.113
_cell_length_c 11.113
_cell_angle_alpha 16.40
_cell_angle_beta 16.40
_cell_angle_gamma 16.40
loop_
_space_group_symop_operation_xyz
'x,y,z'
loop_
_atom_site_label
_atom_site_type_symbol
_atom_site_fract_x
_atom_site_fract_y
_atom_site_fract_z
Pb1 Pb 0.017 0.017 0.017
Mo1 Mo 0.759 0.759 0.759
Pb2 Pb 0.235 0.235 0.235
Au1 Au 0.489 0.489 0.489
# - SG = R3m
# - total moment (Bohr magnetons per cell) = 0.0

=====

Result of the stability comparison: x is the most stable of them.